Ba6Ga2Co11O26 | GGA+U | optimized geometry

The structure in POSCAR format:
```
Ba6Ga2Co11O26
1.0
-0.9432 3.8809 4.1027
3.0273 -4.7184 1.1640
16.1213 9.1278 -4.9280
Ba Ga Co O
6 2 11 26
Direct
0.0000 0.0000 0.1934
0.3333 0.6667 0.3310
0.3333 0.6667 0.5539
0.0000 0.0000 0.8066
0.6667 0.3333 0.6690
0.6667 0.3333 0.4461
0.3333 0.6667 0.1492
0.6667 0.3333 0.8508
0.6667 0.3333 0.1216
0.0000 0.0000 0.0000
0.0000 0.0000 0.3720
0.6667 0.3333 0.2704
0.0000 0.0000 0.6280
0.3333 0.6667 0.8784
0.5000 0.0000 0.0000
0.3333 0.6667 0.7296
0.0000 0.5000 0.0000
0.0000 0.0000 0.5000
0.5000 0.5000 0.0000
0.7042 0.8521 0.4352
0.0203 0.5102 0.8166
0.9797 0.4898 0.1834
0.6667 0.3333 0.9488
0.8193 0.1807 0.0566
0.1807 0.3614 0.9434
0.1479 0.2958 0.4352
0.6387 0.8193 0.9434
0.8521 0.7042 0.5648
0.2958 0.1479 0.5648
0.1479 0.8521 0.4352
0.1620 0.8380 0.6866
0.8521 0.1479 0.5648
0.1807 0.8193 0.9434
0.4898 0.5102 0.8166
0.6759 0.8380 0.6866
0.5102 0.0203 0.1834
0.8380 0.6759 0.3134
0.1620 0.3241 0.6866
0.5102 0.4898 0.1834
0.8193 0.6387 0.0566
0.8380 0.1620 0.3134
0.4898 0.9797 0.8166
0.3614 0.1807 0.0566
0.3241 0.1620 0.3134
0.3333 0.6667 0.0512
```

## Properties
Total energy, Ry per atom: -0.445
Symmetry: P-3m1, No. 164

---

Ba2GaCoO4 | GGA+U | optimized geometry

The structure in POSCAR format:
```
Ba2GaCoO4
1.0
-2.7041 -0.2644 -4.8431
-1.4817 -4.1137 3.4235
-1.1904 4.6563 2.7820
Ba Ga Co O
2 1 1 4
Direct
0.5000 0.7500 0.2500
0.0000 0.0000 0.0000
0.0000 0.5000 0.5000
0.5000 0.2500 0.7500
0.6540 0.4560 0.5217
0.0657 0.1979 0.5440
0.9343 0.4783 0.1323
0.3461 0.8677 0.8021
```

## Properties
N(E_F), states/eV/atom: 0.12
Total energy, Ry per atom: -0.422
Symmetry: I-4, No. 82

---

Ba2GaCo2O6 | GGA+U | optimized geometry

The structure in POSCAR format:
```
Ba2GaCo2O6
1.0
-0.6650 5.8248 -0.3880
-5.2732 2.2792 -1.2330
-3.0964 2.9188 4.6388
Ba Ga Co O
2 1 2 6
Direct
0.7735 0.7735 0.6796
0.2265 0.2265 0.3204
0.0000 0.0000 0.0000
0.4308 0.4308 0.7077
0.5692 0.5692 0.2923
0.7646 0.7646 0.2353
0.2355 0.7646 0.2353
0.7646 0.2355 0.2353
0.2354 0.7645 0.7647
0.7645 0.2354 0.7647
0.2354 0.2354 0.7647
```

## Properties
N(E_F), states/eV/atom: 0.03
Total energy, Ry per atom: -0.436
Symmetry: R-3m, No. 166